No. 1
BaTa2CoGe: optimized geometry, GGA-PBE.

For the density, the calculation gives 9.8 Mg/m³. Its formation energy is 0.76 eV per atom. The volume is 107.40 Å³/cell. The value obtained for the total DFT energy (no corrections) is -33.5 eV/f.u. Its density of states at the Fermi level is 1.38 states/eV per atom.

The space group is P4/mmm (No. 123) and the conventional cell measures 4.858, 4.858 and 4.551 Å, with angles of 90.00, 90.00 and 90.00 degrees. The inequivalent atoms are Ba at (0.000, 0.000, 0.000), Ta at (0.000, 0.500, 0.500), Co at (0.500, 0.500, 0.500) and Ge at (0.500, 0.500, 0.000).



No. 2
BaTlCoGe: optimized geometry, GGA-PBE.

For the density, the calculation gives 7.1 Mg/m³. Its formation energy is -0.28 eV per atom. The volume is 221.05 Å³/cell. The value obtained for the total DFT energy (no corrections) is -17.1 eV/f.u. Its density of states at the Fermi level is 0.74 states/eV per atom.

The space group is P4/nmm (No. 129, origin choice 2) and the conventional cell measures 4.273, 4.273 and 12.105 Å, with angles of 90.00, 90.00 and 90.00 degrees. The inequivalent atoms are Ba at (0.250, 0.250, 0.224), Tl at (0.250, 0.750, 0.500), Co at (0.250, 0.750, 0.000) and Ge at (0.250, 0.250, 0.913).



No. 3
BaTlCoGe2: optimized geometry, GGA-PBE.

For the density, the calculation gives 4.9 Mg/m³. Its formation energy is 1.12 eV per atom. The volume is 186.01 Å³/cell. The value obtained for the total DFT energy (no corrections) is -15.0 eV/f.u. Its density of states at the Fermi level is 1.62 states/eV per atom.

The space group is P4/mmm (No. 123) and the conventional cell measures 5.335, 5.335 and 6.536 Å, with angles of 90.00, 90.00 and 90.00 degrees. The inequivalent atoms are Ba at (0.000, 0.000, 0.000), Tl at (0.000, 0.000, 0.500), Co at (0.500, 0.500, 0.000) and Ge at (0.000, 0.500, 0.500).



No. 4
BaVCo2Ge: optimized geometry, GGA-PBE.

For the density, the calculation gives 5.4 Mg/m³. Its formation energy is 1.35 eV per atom. The volume is 115.67 Å³/cell. The value obtained for the total DFT energy (no corrections) is -23.1 eV/f.u. Its density of states at the Fermi level is 2.44 states/eV per atom.

The space group is P4/mmm (No. 123) and the conventional cell measures 4.469, 4.469 and 5.790 Å, with angles of 90.00, 90.00 and 90.00 degrees. The inequivalent atoms are Ba at (0.000, 0.000, 0.000), V at (0.500, 0.500, 0.000), Co at (0.000, 0.500, 0.500) and Ge at (0.000, 0.000, 0.500).



No. 5
Ba2YCoGe: optimized geometry, GGA-PBE.

For the density, the calculation gives 4.9 Mg/m³. Its formation energy is 0.24 eV per atom. The volume is 166.92 Å³/cell. The value obtained for the total DFT energy (no corrections) is -20.9 eV/f.u. Its density of states at the Fermi level is 0.80 states/eV per atom.

The space group is P4/mmm (No. 123) and the conventional cell measures 6.023, 6.023 and 4.602 Å, with angles of 90.00, 90.00 and 90.00 degrees. The inequivalent atoms are Ba at (0.000, 0.500, 0.000), Y at (0.000, 0.000, 0.500), Co at (0.500, 0.500, 0.000) and Ge at (0.500, 0.500, 0.500).



No. 6
BaZnCoGe2: optimized geometry, GGA-PBE.

For the density, the calculation gives 6.3 Mg/m³. Its formation energy is -0.20 eV per atom. The volume is 106.43 Å³/cell. The value obtained for the total DFT energy (no corrections) is -20.5 eV/f.u. Its density of states at the Fermi level is 0.79 states/eV per atom.

The space group is P4/mmm (No. 123) and the conventional cell measures 4.694, 4.694 and 4.831 Å, with angles of 90.00, 90.00 and 90.00 degrees. The inequivalent atoms are Ba at (0.000, 0.000, 0.000), Zn at (0.500, 0.500, 0.000), Co at (0.500, 0.500, 0.500) and Ge at (0.000, 0.500, 0.500).



No. 7
Ba2CoH: optimized geometry, GGA-PBE.

For the density, the calculation gives 5.5 Mg/m³. As for the polymorph energy (0 for the lowest one): 16 meV per atom. The volume is 406.25 Å³/cell. The value obtained for the total DFT energy (no corrections) is -12.9 eV/f.u. Its density of states at the Fermi level is 0.78 states/eV per atom.

The space group is Fm-3m (No. 225) and the conventional cell measures 7.406, 7.406 and 7.406 Å, with angles of 90.00, 90.00 and 90.00 degrees. The inequivalent atoms are Ba at (0.250, 0.250, 0.250), Co at (0.000, 0.000, 0.000) and H at (0.000, 0.000, 0.500).



No. 8
Ba2CoH4: optimized geometry, GGA-PBE.

For the density, the calculation gives 5.3 Mg/m³. As for the polymorph energy (0 for the lowest one): 154 meV per atom. The volume is 210.70 Å³/cell. The value obtained for the total DFT energy (no corrections) is -25.8 eV/f.u. Its density of states at the Fermi level is 0.27 states/eV per atom.

The space group is I4/mmm (No. 139) and the conventional cell measures 3.637, 3.637 and 15.928 Å, with angles of 90.00, 90.00 and 90.00 degrees. The inequivalent atoms are Ba at (0.000, 0.000, 0.133), Co at (0.000, 0.000, 0.500), H at (0.000, 0.000, 0.308) and H at (0.000, 0.500, 0.000).



Repeat the first record exactly.
BaTa2CoGe: optimized geometry, GGA-PBE.

For the density, the calculation gives 9.8 Mg/m³. Its formation energy is 0.76 eV per atom. The volume is 107.40 Å³/cell. The value obtained for the total DFT energy (no corrections) is -33.5 eV/f.u. Its density of states at the Fermi level is 1.38 states/eV per atom.

The space group is P4/mmm (No. 123) and the conventional cell measures 4.858, 4.858 and 4.551 Å, with angles of 90.00, 90.00 and 90.00 degrees. The inequivalent atoms are Ba at (0.000, 0.000, 0.000), Ta at (0.000, 0.500, 0.500), Co at (0.500, 0.500, 0.500) and Ge at (0.500, 0.500, 0.000).



> What is the formula in the third record?

BaTlCoGe2



> total DFT energy (no corrections) of number 1 (BaTa2CoGe)?

-33.5 eV/f.u.